[1]
Entry from the Alexandria database: crystalline Zr2Ge2Te at its relaxed geometry (PBE-GGA).

Cell lengths 3.7568, 3.7568, 7.9460 Å; angles 76.33, 76.33, 90.00 degrees
With the nearest neighbours (Å) after each atom.
Element x y z (fractional)
1 Ge 0.7500 0.2500 0.5000  4 Ge 2.66, 4 Zr 2.84
2 Ge 0.2500 0.7500 0.5000  4 Ge 2.66, 4 Zr 2.84
3 Zr 0.3922 0.3922 0.2155  4 Ge 2.84, 4 Te 3.11
4 Zr 0.6078 0.6078 0.7845  4 Ge 2.84, 4 Te 3.11
5 Te 0.0000 0.0000 0.0000  8 Zr 3.11

## Properties
Energy above the most stable polymorph in this dataset   0.000 eV per atom



[2]
Entry from the Alexandria database: crystalline Zr2Ge2Te at its relaxed geometry (PBE-GGA).

Cell lengths 7.6435, 7.6435, 3.7117 Å; angles 90.00, 90.00, 90.00 degrees
With the nearest neighbours (Å) after each atom.
Element x y z (fractional)
1 Ge 0.1224 0.6224 0.5000  1 Ge 2.65, 6 Zr 2.91-2.94
2 Ge 0.8776 0.3776 0.5000  1 Ge 2.65, 6 Zr 2.91-2.94
3 Ge 0.3776 0.1224 0.5000  1 Ge 2.65, 6 Zr 2.91-2.94
4 Ge 0.6224 0.8776 0.5000  1 Ge 2.65, 6 Zr 2.91-2.94
5 Zr 0.1672 0.3328 0.0000  2 Te 2.85, 6 Ge 2.91-2.94
6 Zr 0.6672 0.1672 0.0000  2 Te 2.85, 6 Ge 2.91-2.94
7 Zr 0.3328 0.8328 0.0000  2 Te 2.85, 6 Ge 2.91-2.94
8 Zr 0.8328 0.6672 0.0000  2 Te 2.85, 6 Ge 2.91-2.94
9 Te 0.5000 0.5000 0.0000  4 Zr 2.85
10 Te 0.0000 0.0000 0.0000  4 Zr 2.85

## Properties
Energy above the most stable polymorph in this dataset   0.058 eV per atom



[3]
Entry from the Alexandria database: crystalline ZrGeTe4 at its relaxed geometry (PBE-GGA).

Cell lengths 8.7628, 8.7628, 11.1295 Å; angles 90.00, 90.00, 153.36 degrees
With the nearest neighbours (Å) after each atom.
Element x y z (fractional)
1 Te 0.2762 0.7238 0.3006  1 Ge 2.73, 2 Zr 2.99
2 Te 0.1065 0.8935 0.0400  1 Te 2.77, 2 Zr 3.02
3 Te 0.8935 0.1065 0.5400  1 Te 2.77, 2 Zr 3.02
4 Te 0.7238 0.2762 0.8006  1 Ge 2.73, 2 Zr 2.99
5 Te 0.0293 0.9707 0.2585  1 Te 2.77, 2 Zr 2.99
6 Te 0.9707 0.0293 0.7585  1 Te 2.77, 2 Zr 2.99
7 Te 0.6253 0.3747 0.5002  2 Ge 2.72
8 Te 0.3747 0.6253 0.0002  2 Ge 2.72
9 Zr 0.6565 0.3435 0.2262  1 Ge 2.88, 7 Te 2.99-3.10
10 Zr 0.3435 0.6565 0.7262  1 Ge 2.88, 7 Te 2.99-3.10
11 Ge 0.7706 0.2294 0.0355  3 Te 2.72-2.73, 1 Zr 2.88
12 Ge 0.2294 0.7706 0.5355  3 Te 2.72-2.73, 1 Zr 2.88

## Properties
Energy above the most stable polymorph in this dataset   0.000 eV per atom



[4]
Entry from the Alexandria database: crystalline ZrGeTe3 at its relaxed geometry (PBE-GGA).

Cell lengths 5.2932, 5.2932, 5.2932 Å; angles 90.00, 90.00, 90.00 degrees
With the nearest neighbours (Å) after each atom.
Element x y z (fractional)
1 Ge 0.0000 0.0000 0.0000  6 Te 2.65
2 Te 0.0000 0.0000 0.5000  2 Ge 2.65
3 Te 0.5000 0.0000 0.0000  2 Ge 2.65
4 Te 0.0000 0.5000 0.0000  2 Ge 2.65
5 Zr 0.5000 0.5000 0.5000  12 Te 3.74

## Properties
Energy above the most stable polymorph in this dataset   1.002 eV per atom



[5]
Entry from the Alexandria database: crystalline ZrGeTe4 at its relaxed geometry (PBE-GGA).

Cell lengths 6.4337, 6.4337, 11.1577 Å; angles 90.00, 90.00, 90.00 degrees
With the nearest neighbours (Å) after each atom.
Element x y z (fractional)
1 Te 0.7218 0.2606 0.6180  1 Ge 2.65, 1 Zr 2.78
2 Te 0.2606 0.2782 0.3820  1 Ge 2.65, 1 Zr 2.78
3 Te 0.7218 0.7394 0.8820  1 Ge 2.65, 1 Zr 2.78
4 Te 0.2782 0.2606 0.8820  1 Ge 2.65, 1 Zr 2.78
5 Te 0.7394 0.2782 0.1180  1 Ge 2.65, 1 Zr 2.78
6 Te 0.2606 0.7218 0.1180  1 Ge 2.65, 1 Zr 2.78
7 Te 0.2782 0.7394 0.6180  1 Ge 2.65, 1 Zr 2.78
8 Te 0.7394 0.7218 0.3820  1 Ge 2.65, 1 Zr 2.78
9 Ge 0.0000 0.5000 0.2500  4 Te 2.65
10 Ge 0.5000 0.0000 0.7500  4 Te 2.65
11 Zr 0.0000 0.0000 0.0000  4 Te 2.78
12 Zr 0.0000 0.0000 0.5000  4 Te 2.78

## Properties
Energy above the most stable polymorph in this dataset   0.296 eV per atom



[6]
Entry from the Alexandria database: crystalline ZrGeTe3 at its relaxed geometry (PBE-GGA).

Cell lengths 4.0362, 8.5145, 11.8911 Å; angles 120.34, 90.00, 90.00 degrees
With the nearest neighbours (Å) after each atom.
Element x y z (fractional)
1 Te 0.2500 0.5950 0.6971  2 Zr 2.83
2 Te 0.7500 0.9317 0.6064  3 Ge 2.79-2.92, 1 Zr 3.06
3 Te 0.7500 0.4050 0.3029  2 Zr 2.83
4 Te 0.7500 0.8424 0.0677  3 Zr 2.86-3.00
5 Te 0.2500 0.0683 0.3936  3 Ge 2.79-2.92, 1 Zr 3.06
6 Te 0.2500 0.1576 0.9323  3 Zr 2.86-3.00
7 Zr 0.7500 0.8566 0.8323  6 Te 2.83-3.06
8 Zr 0.2500 0.1434 0.1677  6 Te 2.83-3.06
9 Ge 0.2500 0.1898 0.6714  3 Te 2.79-2.92
10 Ge 0.7500 0.8102 0.3286  3 Te 2.79-2.92

## Properties
Energy above the most stable polymorph in this dataset   0.089 eV per atom



[7]
Entry from the Alexandria database: crystalline Zr2GeTe2 at its relaxed geometry (PBE-GGA).

Cell lengths 7.8432, 7.8432, 3.8163 Å; angles 90.00, 90.00, 90.00 degrees
With the nearest neighbours (Å) after each atom.
Element x y z (fractional)
1 Te 0.6459 0.8541 0.5000  6 Zr 2.96-3.01, 1 Te 3.24
2 Te 0.1459 0.6459 0.5000  6 Zr 2.96-3.01, 1 Te 3.24
3 Te 0.8541 0.3541 0.5000  6 Zr 2.96-3.01, 1 Te 3.24
4 Te 0.3541 0.1459 0.5000  6 Zr 2.96-3.01, 1 Te 3.24
5 Ge 0.5000 0.5000 0.0000  4 Zr 2.98
6 Ge 0.0000 0.0000 0.0000  4 Zr 2.98
7 Zr 0.1504 0.3496 0.0000  6 Te 2.96-3.01, 2 Ge 2.98
8 Zr 0.6504 0.1504 0.0000  6 Te 2.96-3.01, 2 Ge 2.98
9 Zr 0.8496 0.6504 0.0000  6 Te 2.96-3.01, 2 Ge 2.98
10 Zr 0.3496 0.8496 0.0000  6 Te 2.96-3.01, 2 Ge 2.98

## Properties
E_tot   -61.67 eV for the cell shown



[8]
Entry from the Alexandria database: crystalline Zr3GeTe at its relaxed geometry (PBE-GGA).

Cell lengths 5.0557, 5.0557, 5.0557 Å; angles 90.00, 90.00, 90.00 degrees
With the nearest neighbours (Å) after each atom.
Element x y z (fractional)
1 Ge 0.0000 0.0000 0.0000  6 Zr 2.53
2 Zr 0.5000 0.0000 0.0000  2 Ge 2.53
3 Zr 0.0000 0.5000 0.0000  2 Ge 2.53
4 Zr 0.0000 0.0000 0.5000  2 Ge 2.53
5 Te 0.5000 0.5000 0.5000  12 Zr 3.57

## Properties
Energy above the most stable polymorph in this dataset   0.000 eV per atom



[9]
Entry from the Alexandria database: crystalline ThGe5 at its relaxed geometry (PBE-GGA).

Cell lengths 3.7710, 4.8993, 7.1791 Å; angles 109.95, 90.00, 90.00 degrees
With the nearest neighbours (Å) after each atom.
Element x y z (fractional)
1 Ge 0.5000 0.5000 0.0000  4 Ge 2.84, 4 Th 3.09
2 Ge 0.5000 0.8079 0.6158  4 Ge 2.78-2.91
3 Ge 0.0000 0.6569 0.3138  4 Ge 2.78-2.84
4 Ge 0.0000 0.3431 0.6862  4 Ge 2.78-2.84
5 Ge 0.5000 0.1921 0.3842  4 Ge 2.78-2.91
6 Th 0.0000 0.0000 0.0000  12 Ge 3.09-3.24

## Properties
E_tot   -31.25 eV for the cell shown



[10]
Entry from the Alexandria database: crystalline Th4Ge3 at its relaxed geometry (PBE-GGA).

Cell lengths 5.9911, 5.9911, 5.9911 Å; angles 90.00, 90.00, 90.00 degrees
With the nearest neighbours (Å) after each atom.
Element x y z (fractional)
1 Ge 0.0000 0.0000 0.5000  6 Th 3.00
2 Ge 0.5000 0.0000 0.0000  6 Th 3.00
3 Ge 0.0000 0.5000 0.0000  6 Th 3.00
4 Th 0.0000 0.5000 0.5000  4 Ge 3.00
5 Th 0.5000 0.0000 0.5000  4 Ge 3.00
6 Th 0.5000 0.5000 0.0000  4 Ge 3.00
7 Th 0.0000 0.0000 0.0000  6 Ge 3.00

## Properties
E_tot   -47.02 eV for the cell shown



[11]
Entry from the Alexandria database: crystalline ThGe3 at its relaxed geometry (PBE-GGA).

Cell lengths 4.2568, 4.2568, 5.6819 Å; angles 112.00, 112.00, 90.00 degrees
With the nearest neighbours (Å) after each atom.
Element x y z (fractional)
1 Ge 0.5000 0.5000 0.0000  4 Th 3.01, 8 Ge 3.21
2 Ge 0.7500 0.2500 0.5000  8 Ge 3.01-3.21, 4 Th 3.21
3 Ge 0.2500 0.7500 0.5000  8 Ge 3.01-3.21, 4 Th 3.21
4 Th 0.0000 0.0000 0.0000  12 Ge 3.01-3.21

## Properties
E_tot   -22.61 eV for the cell shown



[12]
Entry from the Alexandria database: crystalline ThGe4 at its relaxed geometry (PBE-GGA).

Cell lengths 5.5974, 5.5974, 5.5974 Å; angles 90.00, 90.00, 90.00 degrees
With the nearest neighbours (Å) after each atom.
Element x y z (fractional)
1 Ge 0.5000 0.5000 0.0000  2 Th 2.80
2 Ge 0.0000 0.0000 0.0000  12 Ge 3.96
3 Ge 0.0000 0.5000 0.5000  2 Th 2.80
4 Ge 0.5000 0.0000 0.5000  2 Th 2.80
5 Th 0.5000 0.5000 0.5000  6 Ge 2.80

## Properties
E_tot   -20.56 eV for the cell shown